[1]
! PBE CaVAgB2, optimized geometry; values from VASP
&SYSTEM
  ibrav = 0, nat = 5, ntyp = 4
/
ATOMIC_SPECIES
Ca 40.08 Ca.upf
V 50.94 V.upf
Ag 107.87 Ag.upf
B 10.81 B.upf
CELL_PARAMETERS angstrom
4.1980 0.0000 0.0000
0.0000 4.1980 0.0000
0.0000 0.0000 4.8357
ATOMIC_POSITIONS angstrom
Ca 0.0000 0.0000 0.0000
V 0.0000 0.0000 2.4179
Ag 2.0990 2.0990 0.0000
B 0.0000 2.0990 2.4179
B 2.0990 0.0000 2.4179
! Energy relative to the elements ... 1224.9 meV/atom
! Total moment ... 0.1 Bohr magnetons per cell



[2]
! PBE CdAgB3, optimized geometry; values from VASP
&SYSTEM
  ibrav = 0, nat = 5, ntyp = 3
/
ATOMIC_SPECIES
Cd 112.41 Cd.upf
Ag 107.87 Ag.upf
B 10.81 B.upf
CELL_PARAMETERS angstrom
4.4110 0.0000 0.0000
0.0000 4.4110 0.0000
0.0000 0.0000 4.4110
ATOMIC_POSITIONS angstrom
Cd 0.0000 0.0000 0.0000
Ag 2.2055 2.2055 2.2055
B 0.0000 0.0000 2.2055
B 0.0000 2.2055 0.0000
B 2.2055 0.0000 0.0000
! Energy relative to the elements ... 2313.8 meV/atom
! Total moment ... 0.0 Bohr magnetons per cell



[3]
! PBE CdAgB3, optimized geometry; values from VASP
&SYSTEM
  ibrav = 0, nat = 5, ntyp = 3
/
ATOMIC_SPECIES
Cd 112.41 Cd.upf
Ag 107.87 Ag.upf
B 10.81 B.upf
CELL_PARAMETERS angstrom
4.2950 0.0000 0.0000
0.0000 4.2950 0.0000
0.0000 0.0000 4.2950
ATOMIC_POSITIONS angstrom
Cd 0.0000 0.0000 0.0000
Ag 2.1475 2.1475 2.1475
B 0.0000 2.1475 2.1475
B 2.1475 0.0000 2.1475
B 2.1475 2.1475 0.0000
! Energy relative to the elements ... 1972.1 meV/atom
! Total moment ... 0.0 Bohr magnetons per cell



[4]
! PBE CdAg3B, optimized geometry; values from VASP
&SYSTEM
  ibrav = 0, nat = 5, ntyp = 3
/
ATOMIC_SPECIES
Cd 112.41 Cd.upf
Ag 107.87 Ag.upf
B 10.81 B.upf
CELL_PARAMETERS angstrom
5.1769 0.0000 0.0000
0.0000 5.1769 0.0000
0.0000 0.0000 5.1769
ATOMIC_POSITIONS angstrom
Cd 0.0000 0.0000 0.0000
Ag 0.0000 0.0000 2.5885
Ag 0.0000 2.5885 0.0000
Ag 2.5885 0.0000 0.0000
B 2.5885 2.5885 2.5885
! Energy relative to the elements ... 1571.5 meV/atom
! Total moment ... 0.0 Bohr magnetons per cell